The following is a PBE calculation of a geometry-optimized Ti2Mn2Pd7 structure, from the Alexandria database.

Cell: 6.181 4.824 6.181 Å, 84.87 99.54 95.13°
Site moments in Bohr magnetons follow the coordinates.
Positions (direct):
1 Pd 0.000 0.000 0.000  0.06
2 Pd 0.459 0.236 0.541  0.03
3 Pd 0.398 0.243 0.960  0.07
4 Pd 0.040 0.243 0.602  0.07
5 Pd 0.602 0.757 0.040  0.07
6 Pd 0.960 0.757 0.398  0.07
7 Pd 0.541 0.764 0.459  0.03
8 Mn 0.252 0.747 0.748  3.74
9 Mn 0.748 0.253 0.252  3.74
10 Ti 0.794 0.500 0.794  -0.49
11 Ti 0.206 0.500 0.206  -0.49

Properties
The value obtained for the total magnetic moment is 7.0 μB per formula unit. Its symmetry is C2/m. The total energy comes out at -72.358 eV for the cell shown. As for the crystal system: monoclinic. For the formation energy, the calculation gives -0.171 eV/atom.

---

The following is a PBE calculation of a geometry-optimized Cr2HgIr structure, from the Alexandria database.

Cell: 4.877 4.877 4.877 Å, 132.30 132.30 69.75°
Site moments in Bohr magnetons follow the coordinates.
Positions (direct):
1 Hg 0.500 0.500 0.000  0.00
2 Cr 0.000 0.000 0.000  -2.75
3 Cr 0.250 0.750 0.500  2.97
4 Ir 0.750 0.250 0.500  0.17

Properties
The value obtained for the total magnetic moment is 0.4 μB per formula unit. Its symmetry is I-4m2. The total energy comes out at -27.100 eV for the cell shown. As for the crystal system: tetragonal. For the formation energy, the calculation gives 0.327 eV/atom.

---

The following is a PBE calculation of a geometry-optimized Nd4Tm15Sc structure, from the Alexandria database.

Cell: 4.980 4.980 24.775 Å, 90.00 90.00 90.00°
Positions (direct):
1 Tm 0.000 0.500 0.298
2 Tm 0.500 0.500 0.197
3 Tm 0.500 0.500 0.803
4 Tm 0.000 0.500 0.500
5 Tm 0.000 0.500 0.095
6 Tm 0.500 0.500 0.000
7 Tm 0.500 0.500 0.601
8 Tm 0.500 0.000 0.702
9 Tm 0.500 0.000 0.500
10 Tm 0.500 0.500 0.399
11 Tm 0.000 0.500 0.702
12 Tm 0.500 0.000 0.905
13 Tm 0.500 0.000 0.298
14 Tm 0.000 0.500 0.905
15 Tm 0.500 0.000 0.095
16 Nd 0.000 0.000 0.399
17 Nd 0.000 0.000 0.601
18 Nd 0.000 0.000 0.802
19 Nd 0.000 0.000 0.198
20 Sc 0.000 0.000 0.000

Properties
The value obtained for the total magnetic moment is 0.0 μB per formula unit. Its symmetry is P4/mmm. The total energy comes out at -91.835 eV for the cell shown. As for the crystal system: tetragonal. For the formation energy, the calculation gives 0.032 eV/atom.

---

The following is a PBE calculation of a geometry-optimized Ho6Zn2In structure, from the Alexandria database.

Cell: 4.971 4.971 11.322 Å, 102.68 102.68 90.00°
Positions (direct):
1 Zn 0.668 0.668 0.336
2 Zn 0.332 0.332 0.664
3 In 0.000 0.000 0.000
4 Ho 0.090 0.590 0.179
5 Ho 0.410 0.910 0.821
6 Ho 0.750 0.250 0.500
7 Ho 0.910 0.410 0.821
8 Ho 0.250 0.750 0.500
9 Ho 0.590 0.090 0.179

Properties
The value obtained for the total magnetic moment is 0.0 μB per formula unit. Its symmetry is I4/mmm. The total energy comes out at -32.828 eV for the cell shown. As for the crystal system: tetragonal. For the energy above the most stable polymorph in this dataset, the calculation gives 246.2 meV/atom. For the formation energy, the calculation gives -0.008 eV/atom.

---

The following is a PBE calculation of a geometry-optimized TbPmAgHg structure, from the Alexandria database.

Cell: 3.718 3.718 7.521 Å, 90.00 90.00 90.00°
Site moments in Bohr magnetons follow the coordinates.
Positions (direct):
1 Pm 0.000 0.000 0.853  0.05
2 Tb 0.000 0.000 0.364  0.00
3 Ag 0.500 0.500 0.594  0.00
4 Hg 0.500 0.500 0.117  0.00

Properties
The value obtained for the total magnetic moment is 0.1 μB per formula unit. Its symmetry is P4mm. The total energy comes out at -14.073 eV for the cell shown. As for the crystal system: tetragonal. For the formation energy, the calculation gives -0.385 eV/atom.

---

The following is a PBE calculation of a geometry-optimized Rb2AgCl3 structure, from the Alexandria database.

Cell: 4.523 9.400 18.185 Å, 90.00 90.00 90.00°
Positions (direct):
1 Cl 0.250 0.818 0.273
2 Cl 0.750 0.005 0.099
3 Cl 0.750 0.182 0.727
4 Cl 0.250 0.318 0.227
5 Cl 0.750 0.376 0.927
6 Cl 0.750 0.876 0.573
7 Cl 0.250 0.124 0.427
8 Cl 0.250 0.624 0.073
9 Cl 0.750 0.682 0.773
10 Cl 0.750 0.505 0.401
11 Cl 0.250 0.495 0.599
12 Cl 0.250 0.995 0.901
13 Ag 0.750 0.624 0.632
14 Ag 0.250 0.376 0.368
15 Ag 0.250 0.876 0.132
16 Ag 0.750 0.124 0.868
17 Rb 0.750 0.740 0.957
18 Rb 0.250 0.921 0.714
19 Rb 0.750 0.240 0.543
20 Rb 0.750 0.579 0.214
21 Rb 0.250 0.421 0.786
22 Rb 0.250 0.760 0.457
23 Rb 0.750 0.079 0.286
24 Rb 0.250 0.260 0.043

Properties
The formation energy (no corrections) is -1461 meV/atom. The value obtained for the total magnetic moment is 0.0 μB per formula unit. Its symmetry is Pnma. The total energy comes out at -76.365 eV for the cell shown. As for the crystal system: orthorhombic. For the energy above the most stable polymorph in this dataset, the calculation gives 0.0 meV/atom.

---

The following is a PBE calculation of a geometry-optimized Ca8Hg2Pd structure, from the Alexandria database.

Cell: 5.383 7.239 9.787 Å, 106.71 105.96 90.00°
Positions (direct):
1 Ca 0.592 0.430 0.185
2 Ca 0.408 0.570 0.815
3 Ca 0.657 0.963 0.313
4 Ca 0.792 0.693 0.585
5 Ca 0.027 0.794 0.055
6 Ca 0.973 0.206 0.945
7 Ca 0.343 0.037 0.687
8 Ca 0.208 0.307 0.415
9 Hg 0.816 0.283 0.632
10 Hg 0.184 0.717 0.368
11 Pd 0.500 0.000 0.000

Properties
The value obtained for the total magnetic moment is 0.0 μB per formula unit. Its symmetry is C2/m. The total energy comes out at -25.563 eV for the cell shown. As for the crystal system: monoclinic. For the energy above the most stable polymorph in this dataset, the calculation gives 0.0 meV/atom. For the formation energy, the calculation gives -0.341 eV/atom.

---

The following is a PBE calculation of a geometry-optimized Nd6TlIr2 structure, from the Alexandria database.

Cell: 8.819 8.819 8.819 Å, 104.56 110.42 113.56°
Positions (direct):
1 Nd 0.690 0.359 0.669
2 Nd 0.310 0.641 0.331
3 Nd 0.204 0.765 0.969
4 Nd 0.111 0.291 0.820
5 Nd 0.529 0.709 0.820
6 Nd 0.310 0.979 0.669
7 Nd 0.796 0.235 0.031
8 Nd 0.471 0.291 0.180
9 Nd 0.796 0.765 0.561
10 Nd 0.690 0.021 0.331
11 Nd 0.889 0.709 0.180
12 Nd 0.204 0.235 0.439
13 Ir 0.500 0.369 0.869
14 Ir 0.335 0.000 0.335
15 Ir 0.500 0.631 0.131
16 Ir 0.665 0.000 0.665
17 Tl 0.000 0.000 0.000
18 Tl 0.000 0.500 0.500

Properties
The value obtained for the total magnetic moment is 0.0 μB per formula unit. Its symmetry is Immm. The total energy comes out at -105.808 eV for the cell shown. As for the crystal system: orthorhombic. For the energy above the most stable polymorph in this dataset, the calculation gives 0.0 meV/atom. For the formation energy, the calculation gives -0.468 eV/atom.

---

The following is a PBE calculation of a geometry-optimized NaAl3Rh structure, from the Alexandria database.

Cell: 4.763 4.763 4.763 Å, 90.00 90.00 90.00°
Positions (direct):
1 Na 0.500 0.500 0.500
2 Al 0.500 0.000 0.000
3 Al 0.000 0.500 0.000
4 Al 0.000 0.000 0.500
5 Rh 0.000 0.000 0.000

Properties
The value obtained for the total magnetic moment is 0.0 μB per formula unit. Its symmetry is Pm-3m. The total energy comes out at -21.108 eV for the cell shown. As for the crystal system: cubic. For the energy above the most stable polymorph in this dataset, the calculation gives 0.0 meV/atom. For the formation energy, the calculation gives -0.242 eV/atom.

---

The following is a PBE calculation of a geometry-optimized ZnRu2 structure, from the Alexandria database.

Cell: 12.232 12.232 12.232 Å, 167.39 167.39 17.88°
Positions (direct):
1 Ru 0.332 0.832 0.500
2 Ru 0.582 0.582 0.000
3 Ru 0.418 0.418 0.000
4 Ru 0.168 0.668 0.500
5 Zn 0.000 0.000 0.000
6 Zn 0.750 0.250 0.500

Properties
The value obtained for the total magnetic moment is 0.0 μB per formula unit. Its symmetry is I4_1/amd. The total energy comes out at -37.718 eV for the cell shown. As for the crystal system: tetragonal. For the formation energy, the calculation gives 0.322 eV/atom.